First-principles (PBEsol) data for an optimized crystal structure of Al2CoTe, as listed in Alexandria via LeMat-Bulk.

Output
* E_form (uncorrected): 0.30 eV per atom

Lattice parameters (Å, degrees): 4.1492 4.8243 4.1492 64.53 90.00 115.47
Fractional positions:
Te: 0.7500 0.5000 0.7500
Co: 0.5000 0.0000 0.5000
Al: 0.0000 0.0000 0.0000
Al: 0.2500 0.5000 0.2500